(1)
Crystalline HgOs2Au at its relaxed geometry, computed with PBE.

Summary:
Crystal system: cubic
Total magnetic moment: 0.1 μB per cell
Energy: -5.50 eV per atom
Formation enthalpy at 0 K: 4.0 eV/f.u.

a b c (Å): 6.445 6.445 6.445
angles (deg): 90.00 90.00 90.00
Space group F-43m (No. 216)
Unique sites:
Hg: 0.000 0.000 0.000 [4 per cell]
Os: 0.000 0.000 0.500 [4 per cell]
Os: 0.250 0.250 0.750 [4 per cell]
Au: 0.250 0.250 0.250 [4 per cell]

(2)
Crystalline PaHgAu at its relaxed geometry, computed with PBE.

Summary:
Crystal system: cubic
Total magnetic moment: 0.0 μB per cell
Energy: -4.45 eV per atom
Relative energy among the computed polymorphs: 0.0 kJ per mole of atoms
Formation enthalpy at 0 K: -0.3 eV/f.u.

a b c (Å): 6.768 6.768 6.768
angles (deg): 90.00 90.00 90.00
Space group F-43m (No. 216)
Unique sites:
Pa: 0.000 0.000 0.000 [4 per cell]
Hg: 0.000 0.000 0.500 [4 per cell]
Au: 0.250 0.250 0.750 [4 per cell]

(3)
Crystalline Hg2PbAu at its relaxed geometry, computed with PBE.

Summary:
Crystal system: cubic
Energy: -1.82 eV per atom

a b c (Å): 7.332 7.332 7.332
angles (deg): 90.00 90.00 90.00
Space group F-43m (No. 216)
Unique sites:
Hg: 0.000 0.000 0.000 [4 per cell]
Hg: 0.250 0.250 0.250 [4 per cell]
Pb: 0.000 0.000 0.500 [4 per cell]
Au: 0.250 0.250 0.750 [4 per cell]

(4)
Crystalline Pr3Hg3Pd2Au at its relaxed geometry, computed with PBE.

Summary:
Crystal system: hexagonal
Total magnetic moment: 0.0 μB per cell
Energy: -3.88 eV per atom
Formation enthalpy at 0 K: -6.0 eV/f.u.

a b c (Å): 7.9245 7.9245 3.9856
angles (deg): 90.00 90.00 120.00
Space group P-62m (No. 189)
Unique sites:
Pr: 0.0000 0.4024 0.0000 [3 per cell]
Hg: 0.0000 0.7292 0.5000 [3 per cell]
Pd: 0.3333 0.6667 0.5000 [2 per cell]
Au: 0.0000 0.0000 0.0000 [1 per cell]

(5)
Crystalline PrSm2Hg3PdAu2 at its relaxed geometry, computed with PBE.

Summary:
Crystal system: orthorhombic
Total magnetic moment: 0.0 μB per cell
Energy: -3.65 eV per atom
Formation enthalpy at 0 K: -6.0 eV/f.u.

a b c (Å): 3.891 13.859 7.966
angles (deg): 90.00 90.00 90.00
Space group Amm2 (No. 38)
Unique sites:
Pr: 0.000 0.000 0.000 [2 per cell]
Sm: 0.000 0.197 0.407 [4 per cell]
Hg: 0.500 0.000 0.343 [2 per cell]
Hg: 0.500 0.131 0.735 [4 per cell]
Pd: 0.000 0.000 0.603 [2 per cell]
Au: 0.500 0.169 0.106 [4 per cell]

(6)
Crystalline Pr2SmHg3PdAu2 at its relaxed geometry, computed with PBE.

Summary:
Crystal system: orthorhombic
Total magnetic moment: 0.0 μB per cell
Energy: -3.65 eV per atom
Formation enthalpy at 0 K: -6.0 eV/f.u.

a b c (Å): 3.943 13.831 8.005
angles (deg): 90.00 90.00 90.00
Space group Amm2 (No. 38)
Unique sites:
Pr: 0.000 0.198 0.000 [4 per cell]
Sm: 0.000 0.000 0.406 [2 per cell]
Hg: 0.500 0.000 0.062 [2 per cell]
Hg: 0.500 0.129 0.672 [4 per cell]
Pd: 0.000 0.000 0.801 [2 per cell]
Au: 0.500 0.165 0.303 [4 per cell]

(7)
Crystalline Tb2PrHg3PdAu2 at its relaxed geometry, computed with PBE.

Summary:
Crystal system: orthorhombic
Total magnetic moment: 0.0 μB per cell
Energy: -3.63 eV per atom
Formation enthalpy at 0 K: -6.0 eV/f.u.

a b c (Å): 3.852 13.822 7.913
angles (deg): 90.00 90.00 90.00
Space group Amm2 (No. 38)
Unique sites:
Tb: 0.000 0.197 0.000 [4 per cell]
Pr: 0.000 0.000 0.593 [2 per cell]
Hg: 0.500 0.000 0.935 [2 per cell]
Hg: 0.500 0.132 0.328 [4 per cell]
Pd: 0.000 0.000 0.195 [2 per cell]
Au: 0.500 0.170 0.700 [4 per cell]

(8)
Crystalline Pr3TlHg2PdAu2 at its relaxed geometry, computed with PBE.

Summary:
Crystal system: orthorhombic
Total magnetic moment: 0.0 μB per cell
Energy: -3.87 eV per atom

a b c (Å): 3.979 14.026 7.992
angles (deg): 90.00 90.00 90.00
Space group Amm2 (No. 38)
Unique sites:
Pr: 0.000 0.000 0.000 [2 per cell]
Pr: 0.000 0.203 0.588 [4 per cell]
Tl: 0.500 0.000 0.644 [2 per cell]
Hg: 0.500 0.131 0.262 [4 per cell]
Pd: 0.000 0.000 0.390 [2 per cell]
Au: 0.500 0.165 0.889 [4 per cell]